Entry 1:
The following is a PBE calculation of an optimized crystal structure of AcScTlAu, from Alexandria via LeMat-Bulk.

Cell lengths 7.6198, 7.6198, 7.6198 Å; angles 90.00, 90.00, 90.00 degrees
Sites, in units of the cell vectors:
Ac (0.0000, 0.0000, 0.0000)
Ac (0.0000, 0.5000, 0.5000)
Ac (0.5000, 0.0000, 0.5000)
Ac (0.5000, 0.5000, 0.0000)
Sc (0.0000, 0.0000, 0.5000)
Sc (0.0000, 0.5000, 0.0000)
Sc (0.5000, 0.0000, 0.0000)
Sc (0.5000, 0.5000, 0.5000)
Tl (0.2500, 0.2500, 0.2500)
Tl (0.2500, 0.7500, 0.7500)
Tl (0.7500, 0.2500, 0.7500)
Tl (0.7500, 0.7500, 0.2500)
Au (0.2500, 0.2500, 0.7500)
Au (0.2500, 0.7500, 0.2500)
Au (0.7500, 0.2500, 0.2500)
Au (0.7500, 0.7500, 0.7500)

## Properties
Its volume is 27.65 Å³ per atom. As for the spin magnetization: 0.18 μB/f.u. The formation energy from the elements comes out at -408 meV per atom.

=====

Entry 2:
The following is a PBE calculation of an optimized crystal structure of Li2SnAu4, from Alexandria via LeMat-Bulk.

Cell lengths 9.8858, 5.8378, 4.9316 Å; angles 90.00, 110.52, 90.00 degrees
Sites, in units of the cell vectors:
Li (0.2289, 0.0000, 0.4629)
Li (0.2711, 0.5000, 0.5371)
Li (0.7289, 0.5000, 0.4629)
Li (0.7711, 0.0000, 0.5371)
Sn (0.0000, 0.5000, 0.0000)
Sn (0.5000, 0.0000, 0.0000)
Au (0.0000, 0.2414, 0.5000)
Au (0.0000, 0.7586, 0.5000)
Au (0.2500, 0.2500, 0.0000)
Au (0.2500, 0.7500, 0.0000)
Au (0.5000, 0.2586, 0.5000)
Au (0.5000, 0.7414, 0.5000)
Au (0.7500, 0.2500, 0.0000)
Au (0.7500, 0.7500, 0.0000)

## Properties
Its volume is 19.04 Å³ per atom. As for the spin magnetization: 0.00 μB/f.u. The formation energy from the elements comes out at -318 meV per atom. The offset from the most stable computed form comes out at 0.000 eV per atom.

=====

Entry 3:
The following is a PBE calculation of an optimized crystal structure of SrPrBi6, from Alexandria via LeMat-Bulk.

Cell lengths 4.9558, 4.9558, 10.4729 Å; angles 90.00, 90.00, 90.00 degrees
Sites, in units of the cell vectors:
Sr (0.0000, 0.0000, 0.0000)
Pr (0.0000, 0.0000, 0.5000)
Bi (0.0000, 0.5000, 0.2541)
Bi (0.0000, 0.5000, 0.7459)
Bi (0.5000, 0.0000, 0.2541)
Bi (0.5000, 0.0000, 0.7459)
Bi (0.5000, 0.5000, 0.0000)
Bi (0.5000, 0.5000, 0.5000)

## Properties
Its volume is 32.15 Å³ per atom. As for the spin magnetization: 0.00 μB/f.u. The formation energy from the elements comes out at -455 meV per atom.

=====

Entry 4:
The following is a PBE calculation of an optimized crystal structure of CaDyErAl, from Alexandria via LeMat-Bulk.

Cell lengths 7.5864, 7.5864, 7.5864 Å; angles 90.00, 90.00, 90.00 degrees
Sites, in units of the cell vectors:
Ca (0.0000, 0.0000, 0.0000)
Ca (0.0000, 0.5000, 0.5000)
Ca (0.5000, 0.0000, 0.5000)
Ca (0.5000, 0.5000, 0.0000)
Dy (0.2500, 0.2500, 0.2500)
Dy (0.2500, 0.7500, 0.7500)
Dy (0.7500, 0.2500, 0.7500)
Dy (0.7500, 0.7500, 0.2500)
Er (0.2500, 0.2500, 0.7500)
Er (0.2500, 0.7500, 0.2500)
Er (0.7500, 0.2500, 0.2500)
Er (0.7500, 0.7500, 0.7500)
Al (0.0000, 0.0000, 0.5000)
Al (0.0000, 0.5000, 0.0000)
Al (0.5000, 0.0000, 0.0000)
Al (0.5000, 0.5000, 0.5000)

## Properties
Its volume is 27.29 Å³ per atom. As for the spin magnetization: 0.00 μB/f.u. The formation energy from the elements comes out at -41 meV per atom.

=====

Entry 5:
The following is a PBE calculation of an optimized crystal structure of LuNb2Fe, from Alexandria via LeMat-Bulk.

Cell lengths 2.9818, 2.9818, 29.8902 Å; angles 90.00, 90.00, 120.00 degrees
Sites, in units of the cell vectors:
Lu (0.0000, 0.0000, 0.0000)
Lu (0.3333, 0.6667, 0.6667)
Lu (0.6667, 0.3333, 0.3333)
Nb (0.0000, 0.0000, 0.1000)
Nb (0.0000, 0.0000, 0.9000)
Nb (0.3333, 0.6667, 0.5667)
Nb (0.3333, 0.6667, 0.7666)
Nb (0.6667, 0.3333, 0.2334)
Nb (0.6667, 0.3333, 0.4333)
Fe (0.0000, 0.0000, 0.5000)
Fe (0.3333, 0.6667, 0.1667)
Fe (0.6667, 0.3333, 0.8333)

## Properties
Its volume is 19.18 Å³ per atom. As for the spin magnetization: 1.33 μB/f.u. The formation energy from the elements comes out at 538 meV per atom.

=====

Entry 6:
The following is a PBE calculation of an optimized crystal structure of HoFeSi3Ru, from Alexandria via LeMat-Bulk.

Cell lengths 6.4842, 6.4842, 5.3679 Å; angles 90.00, 90.00, 110.55 degrees
Sites, in units of the cell vectors:
Ho (0.2410, 0.7590, 0.7500)
Ho (0.7590, 0.2410, 0.2500)
Fe (0.0419, 0.9581, 0.2500)
Fe (0.9581, 0.0419, 0.7500)
Si (0.2366, 0.7634, 0.2500)
Si (0.2418, 0.2418, 0.0000)
Si (0.2418, 0.2418, 0.5000)
Si (0.7582, 0.7582, 0.0000)
Si (0.7582, 0.7582, 0.5000)
Si (0.7634, 0.2366, 0.7500)
Ru (0.4423, 0.5577, 0.2500)
Ru (0.5577, 0.4423, 0.7500)

## Properties
Its volume is 17.61 Å³ per atom. As for the spin magnetization: 0.00 μB/f.u. The calculation puts the uncorrected formation energy at -0.37 eV per atom.

=====

Entry 7:
The following is a PBE calculation of an optimized crystal structure of DyTlCdF6, from Alexandria via LeMat-Bulk.

Cell lengths 6.1245, 6.1245, 5.6130 Å; angles 90.00, 90.00, 120.00 degrees
Sites, in units of the cell vectors:
Dy (0.0000, 0.0000, 0.0000)
Tl (0.6667, 0.3333, 0.5000)
Cd (0.3333, 0.6667, 0.0000)
F (0.0411, 0.3239, 0.2070)
F (0.0411, 0.7172, 0.7930)
F (0.2828, 0.3239, 0.7930)
F (0.2828, 0.9589, 0.2070)
F (0.6761, 0.7172, 0.2070)
F (0.6761, 0.9589, 0.7930)

## Properties
Its volume is 20.26 Å³ per atom. As for the spin magnetization: 0.00 μB/f.u. The calculation puts the uncorrected formation energy at -2.94 eV per atom.

=====

Question: Look up the spin magnetization of the third one.
Answer: 0.00 μB/f.u.

=====

Question: What is the spin magnetization in the fifth record?
Answer: 1.33 μB/f.u.